Here is a geometry-optimized Er2Ti3Ge4 structure from Alexandria. Energies are from PBE.

DFT total energy (eV/atom): -6.50
Calculated formation energy (meV/atom): -803
Total magnetic moment (Bohr magnetons per cell): 0.009

Unit cell a=7.141 b=7.125 c=6.972 alpha=90.00 beta=109.71 gamma=90.00
Positions (direct):
Er 0.188 0.171 0.062
Er 0.188 0.329 0.562
Er 0.812 0.671 0.438
Er 0.812 0.829 0.938
Ti 0.255 0.672 0.248
Ti 0.255 0.828 0.748
Ti 0.500 0.000 0.500
Ti 0.500 0.500 0.000
Ti 0.745 0.172 0.252
Ti 0.745 0.328 0.752
Ge 0.087 0.541 0.858
Ge 0.087 0.959 0.358
Ge 0.494 0.133 0.862
Ge 0.494 0.367 0.362
Ge 0.506 0.633 0.638
Ge 0.506 0.867 0.138
Ge 0.913 0.041 0.642
Ge 0.913 0.459 0.142